This record from Alexandria describes crystalline Be2InRh at its relaxed geometry. The functional is PBE.

Results
Magnetic moment = 0.0 μB per formula unit
Uncorrected energy = -35.65 eV for the cell shown
ΔE_f = -0.07 eV per atom

Unit cell a=3.779 b=3.789 c=7.329 alpha=90.00 beta=90.00 gamma=90.00
Space group Immm (No. 71)
Inequivalent atoms, fractional coordinates:
1 Be 0.000 0.000 0.250 x4
2 In 0.000 0.500 0.000 x2
3 Rh 0.000 0.500 0.500 x2

=====

This record from Alexandria describes crystalline Be2InRh at its relaxed geometry. The functional is PBE.

Results
Magnetic moment = 0.0 μB per formula unit
Uncorrected energy = -33.87 eV for the cell shown
ΔE_f = 0.15 eV per atom

Unit cell a=5.470 b=8.213 c=2.881 alpha=90.00 beta=121.12 gamma=90.00
Space group C2/m (No. 12)
Inequivalent atoms, fractional coordinates:
1 Be 0.250 0.250 0.000 x4
2 In 0.000 0.000 0.500 x2
3 Rh 0.000 0.500 0.500 x2

=====

This record from Alexandria describes crystalline BeInRh4 at its relaxed geometry. The functional is PBE.

Results
Magnetic moment = 0.0 μB per formula unit
Uncorrected energy = -137.96 eV for the cell shown
ΔE_f = 0.23 eV per atom

Unit cell a=7.247 b=7.247 c=7.247 alpha=90.00 beta=90.00 gamma=90.00
Space group F-43m (No. 216)
Inequivalent atoms, fractional coordinates:
1 Be 0.000 0.000 0.000 x4
2 In 0.250 0.250 0.750 x4
3 Rh 0.125 0.125 0.375 x16

=====

This record from Alexandria describes crystalline Be2InRh at its relaxed geometry. The functional is PBE.

Results
Magnetic moment = 0.0 μB per formula unit
Uncorrected energy = -49.54 eV for the cell shown
ΔE_f = 0.26 eV per atom

Unit cell a=2.9593 b=2.9593 c=22.4768 alpha=90.00 beta=90.00 gamma=120.00
Space group R3m (No. 160, hexagonal axes)
Inequivalent atoms, fractional coordinates:
1 Be 0.0000 0.0000 0.0000 x3
2 Be 0.0000 0.0000 0.2633 x3
3 In 0.0000 0.0000 0.7620 x3
4 Rh 0.0000 0.0000 0.5293 x3

=====

This record from Alexandria describes crystalline Be2InRh at its relaxed geometry. The functional is PBE.

Results
Magnetic moment = 0.0 μB per formula unit
Uncorrected energy = -36.01 eV for the cell shown
ΔE_f = -0.12 eV per atom

Unit cell a=7.960 b=3.340 c=4.424 alpha=90.00 beta=107.80 gamma=90.00
Space group C2/m (No. 12)
Inequivalent atoms, fractional coordinates:
1 Be 0.218 0.000 0.122 x4
2 In 0.000 0.000 0.500 x2
3 Rh 0.000 0.500 0.000 x2

=====

This record from Alexandria describes crystalline BeIn2Rh at its relaxed geometry. The functional is PBE.

Results
Magnetic moment = 0.0 μB per formula unit
Uncorrected energy = -16.46 eV for the cell shown
ΔE_f = 0.02 eV per atom

Unit cell a=3.421 b=3.454 c=5.682 alpha=90.00 beta=90.00 gamma=90.00
Space group Pmmm (No. 47)
Inequivalent atoms, fractional coordinates:
1 Be 0.000 0.000 0.000 x1
2 In 0.500 0.500 0.248 x2
3 Rh 0.000 0.000 0.500 x1

=====

This record from Alexandria describes crystalline BeIn2Rh at its relaxed geometry. The functional is PBE.

Results
Magnetic moment = 0.0 μB per formula unit
Uncorrected energy = -32.88 eV for the cell shown
ΔE_f = 0.03 eV per atom

Unit cell a=3.967 b=3.967 c=8.445 alpha=90.00 beta=90.00 gamma=90.00
Space group I-4m2 (No. 119)
Inequivalent atoms, fractional coordinates:
1 Be 0.000 0.000 0.000 x2
2 In 0.000 0.000 0.500 x2
3 In 0.000 0.500 0.750 x2
4 Rh 0.000 0.500 0.250 x2

=====

This record from Alexandria describes crystalline Be2InRh3 at its relaxed geometry. The functional is PBE.

Results
Magnetic moment = 0.0 μB per formula unit
Uncorrected energy = -35.10 eV for the cell shown
ΔE_f = -0.48 eV per atom

Unit cell a=2.907 b=2.907 c=9.157 alpha=90.00 beta=90.00 gamma=90.00
Space group P4/mmm (No. 123)
Inequivalent atoms, fractional coordinates:
1 Be 0.000 0.000 0.145 x2
2 In 0.000 0.000 0.500 x1
3 Rh 0.500 0.500 0.000 x1
4 Rh 0.500 0.500 0.295 x2

=====

This record from Alexandria describes crystalline BeIn2Rh at its relaxed geometry. The functional is PBE.

Results
Magnetic moment = 0.0 μB per formula unit
Uncorrected energy = -17.06 eV for the cell shown
ΔE_f = -0.13 eV per atom

Unit cell a=3.063 b=3.063 c=7.530 alpha=90.00 beta=90.00 gamma=90.00
Space group P4mm (No. 99)
Inequivalent atoms, fractional coordinates:
1 Be 0.000 0.000 0.000 x1
2 In 0.000 0.000 0.626 x1
3 In 0.500 0.500 0.269 x1
4 Rh 0.500 0.500 0.885 x1

=====

This record from Alexandria describes crystalline BeInRh3 at its relaxed geometry. The functional is PBE.

Results
Magnetic moment = 1.8 μB per formula unit
Uncorrected energy = -20.33 eV for the cell shown
ΔE_f = 1.64 eV per atom

Unit cell a=4.836 b=4.836 c=4.836 alpha=90.00 beta=90.00 gamma=90.00
Space group Pm-3m (No. 221)
Inequivalent atoms, fractional coordinates:
1 Be 0.000 0.000 0.000 x1
2 In 0.500 0.500 0.500 x1
3 Rh 0.000 0.500 0.500 x3

=====

This record from Alexandria describes crystalline Be2InRh at its relaxed geometry. The functional is PBE.

Results
Magnetic moment = 0.0 μB per formula unit
Uncorrected energy = -35.97 eV for the cell shown
ΔE_f = -0.11 eV per atom

Unit cell a=3.611 b=3.611 c=8.024 alpha=90.00 beta=90.00 gamma=90.00
Space group I-4m2 (No. 119)
Inequivalent atoms, fractional coordinates:
1 Be 0.000 0.000 0.000 x2
2 Be 0.000 0.500 0.250 x2
3 In 0.000 0.500 0.750 x2
4 Rh 0.000 0.000 0.500 x2

=====

This record from Alexandria describes crystalline Be2InRh at its relaxed geometry. The functional is PBE.

Results
Magnetic moment = 0.0 μB per formula unit
Uncorrected energy = -67.06 eV for the cell shown
ΔE_f = 0.19 eV per atom

Unit cell a=4.035 b=4.035 c=15.897 alpha=90.00 beta=90.00 gamma=90.00
Space group I-42d (No. 122)
Inequivalent atoms, fractional coordinates:
1 Be 0.012 0.250 0.125 x8
2 In 0.000 0.000 0.500 x4
3 Rh 0.000 0.000 0.000 x4

=====

This record from Alexandria describes crystalline BeIn2Rh at its relaxed geometry. The functional is PBE.

Results
Magnetic moment = 0.0 μB per formula unit
Uncorrected energy = -33.42 eV for the cell shown
ΔE_f = -0.04 eV per atom

Unit cell a=10.606 b=3.024 c=4.607 alpha=90.00 beta=109.42 gamma=90.00
Space group Cm (No. 8)
Inequivalent atoms, fractional coordinates:
1 Be 0.000 0.000 0.000 x2
2 In 0.073 0.500 0.556 x2
3 In 0.283 0.500 0.218 x2
4 Rh 0.338 0.000 0.759 x2

=====

This record from Alexandria describes crystalline Be2InRh at its relaxed geometry. The functional is PBE.

Results
Magnetic moment = 0.0 μB per formula unit
Uncorrected energy = -17.87 eV for the cell shown
ΔE_f = -0.08 eV per atom

Unit cell a=3.971 b=3.971 c=3.267 alpha=90.00 beta=90.00 gamma=90.00
Space group P4/mmm (No. 123)
Inequivalent atoms, fractional coordinates:
1 Be 0.000 0.500 0.000 x2
2 In 0.000 0.000 0.500 x1
3 Rh 0.500 0.500 0.500 x1

=====

This record from Alexandria describes crystalline Be2InRh at its relaxed geometry. The functional is PBE.

Results
Magnetic moment = 0.0 μB per formula unit
Uncorrected energy = -17.88 eV for the cell shown
ΔE_f = -0.08 eV per atom

Unit cell a=2.937 b=3.728 c=4.966 alpha=90.00 beta=106.89 gamma=90.00
Space group Pm (No. 6)
Inequivalent atoms, fractional coordinates:
1 Be 0.000 0.000 0.000 x1
2 Be 0.117 0.500 0.234 x1
3 In 0.738 0.000 0.479 x1
4 Rh 0.425 0.500 0.845 x1

=====

This record from Alexandria describes crystalline Sc2Be2InRh5 at its relaxed geometry. The functional is PBE.

Results
Magnetic moment = 0.0 μB per formula unit
Uncorrected energy = -134.67 eV for the cell shown
ΔE_f = -0.77 eV per atom

Unit cell a=9.613 b=9.613 c=3.171 alpha=90.00 beta=90.00 gamma=90.00
Space group P4/mbm (No. 127)
Inequivalent atoms, fractional coordinates:
1 Sc 0.176 0.324 0.000 x4
2 Be 0.122 0.622 0.000 x4
3 In 0.000 0.000 0.000 x2
4 Rh 0.000 0.500 0.500 x2
5 Rh 0.070 0.782 0.500 x8

=====

This record from Alexandria describes crystalline BeInSn2Rh at its relaxed geometry. The functional is PBE.

Results
Magnetic moment = 0.0 μB per formula unit
Uncorrected energy = -15.36 eV for the cell shown
ΔE_f = 1.29 eV per atom

Unit cell a=5.493 b=5.493 c=4.967 alpha=90.00 beta=90.00 gamma=90.00
Space group P4/mmm (No. 123)
Inequivalent atoms, fractional coordinates:
1 Be 0.000 0.000 0.000 x1
2 In 0.500 0.500 0.500 x1
3 Sn 0.000 0.500 0.500 x2
4 Rh 0.500 0.500 0.000 x1

=====

This record from Alexandria describes crystalline Be2InSn2Rh5 at its relaxed geometry. The functional is PBE.

Results
Magnetic moment = 0.0 μB per formula unit
Uncorrected energy = -118.00 eV for the cell shown
ΔE_f = -0.40 eV per atom

Unit cell a=9.524 b=9.524 c=3.272 alpha=90.00 beta=90.00 gamma=90.00
Space group P4/mbm (No. 127)
Inequivalent atoms, fractional coordinates:
1 Be 0.124 0.376 0.000 x4
2 In 0.000 0.000 0.000 x2
3 Sn 0.173 0.673 0.000 x4
4 Rh 0.000 0.500 0.500 x2
5 Rh 0.084 0.210 0.500 x8

=====

This record from Alexandria describes crystalline Be2In2SnRh5 at its relaxed geometry. The functional is PBE.

Results
Magnetic moment = 0.0 μB per formula unit
Uncorrected energy = -116.64 eV for the cell shown
ΔE_f = -0.46 eV per atom

Unit cell a=9.702 b=9.702 c=3.133 alpha=90.00 beta=90.00 gamma=90.00
Space group P4/mbm (No. 127)
Inequivalent atoms, fractional coordinates:
1 Be 0.122 0.378 0.000 x4
2 In 0.172 0.672 0.000 x4
3 Sn 0.000 0.000 0.000 x2
4 Rh 0.000 0.500 0.500 x2
5 Rh 0.079 0.210 0.500 x8

=====

This record from Alexandria describes crystalline Tm2Be2InRh5 at its relaxed geometry. The functional is PBE.

Results
Magnetic moment = 0.0 μB per formula unit
Uncorrected energy = -127.83 eV for the cell shown
ΔE_f = -0.80 eV per atom

Unit cell a=9.714 b=9.714 c=3.260 alpha=90.00 beta=90.00 gamma=90.00
Space group P4/mbm (No. 127)
Inequivalent atoms, fractional coordinates:
1 Tm 0.177 0.323 0.000 x4
2 Be 0.120 0.620 0.000 x4
3 In 0.000 0.000 0.000 x2
4 Rh 0.000 0.500 0.500 x2
5 Rh 0.069 0.781 0.500 x8